# 1
Here is a geometry-optimized TbDy12Th7 structure from the Alexandria database. Energies are from GGA-PBE.

Properties
Calculated formation energy: 0.9536 eV/atom
Total magnetic moment: 0.000 μB per atom
Calculated total energy: -4.636 eV per atom

a = 9.981 Å, b = 9.981 Å, c = 9.981 Å
α = 109.47°, β = 109.47°, γ = 109.47°
Fractional positions:
Tb 0.000 0.000 0.000
Dy 0.003 0.747 0.256
Dy 0.253 0.256 0.509
Dy 0.253 0.744 0.997
Dy 0.256 0.003 0.747
Dy 0.256 0.509 0.253
Dy 0.491 0.747 0.744
Dy 0.509 0.253 0.256
Dy 0.744 0.491 0.747
Dy 0.744 0.997 0.253
Dy 0.747 0.256 0.003
Dy 0.747 0.744 0.491
Dy 0.997 0.253 0.744
Th 0.000 0.000 0.500
Th 0.000 0.500 0.000
Th 0.000 0.500 0.500
Th 0.500 0.000 0.000
Th 0.500 0.000 0.500
Th 0.500 0.500 0.000
Th 0.500 0.500 0.500

=====

# 2
Here is a geometry-optimized Tb3Dy12Th5 structure from the Alexandria database. Energies are from GGA-PBE.

Properties
Calculated formation energy: 1.2238 eV/atom
Total magnetic moment: 0.305 μB per atom
Calculated total energy: -4.087 eV per atom

a = 16.164 Å, b = 16.164 Å, c = 16.164 Å
α = 109.47°, β = 109.47°, γ = 109.47°
Fractional positions:
Tb 0.125 0.250 0.375
Tb 0.125 0.375 0.750
Tb 0.250 0.375 0.125
Tb 0.250 0.875 0.625
Tb 0.375 0.125 0.250
Tb 0.375 0.750 0.125
Tb 0.625 0.250 0.875
Tb 0.625 0.875 0.750
Tb 0.750 0.125 0.375
Tb 0.750 0.625 0.875
Tb 0.875 0.625 0.250
Tb 0.875 0.750 0.625
Dy 0.068 0.641 0.411
Dy 0.068 0.927 0.657
Dy 0.073 0.230 0.141
Dy 0.073 0.343 0.932
Dy 0.089 0.730 0.657
Dy 0.089 0.859 0.432
Dy 0.141 0.073 0.230
Dy 0.141 0.568 0.911
Dy 0.157 0.230 0.589
Dy 0.157 0.427 0.568
Dy 0.230 0.141 0.073
Dy 0.230 0.589 0.157
Dy 0.270 0.343 0.911
Dy 0.270 0.427 0.359
Dy 0.343 0.911 0.270
Dy 0.343 0.932 0.073
Dy 0.359 0.270 0.427
Dy 0.359 0.589 0.932
Dy 0.411 0.068 0.641
Dy 0.411 0.843 0.770
Dy 0.427 0.359 0.270
Dy 0.427 0.568 0.157
Dy 0.432 0.089 0.859
Dy 0.432 0.843 0.573
Dy 0.568 0.157 0.427
Dy 0.568 0.911 0.141
Dy 0.573 0.432 0.843
Dy 0.573 0.641 0.730
Dy 0.589 0.157 0.230
Dy 0.589 0.932 0.359
Dy 0.641 0.411 0.068
Dy 0.641 0.730 0.573
Dy 0.657 0.068 0.927
Dy 0.657 0.089 0.730
Dy 0.730 0.573 0.641
Dy 0.730 0.657 0.089
Dy 0.770 0.411 0.843
Dy 0.770 0.859 0.927
Dy 0.843 0.573 0.432
Dy 0.843 0.770 0.411
Dy 0.859 0.432 0.089
Dy 0.859 0.927 0.770
Dy 0.911 0.141 0.568
Dy 0.911 0.270 0.343
Dy 0.927 0.657 0.068
Dy 0.927 0.770 0.859
Dy 0.932 0.073 0.343
Dy 0.932 0.359 0.589
Th 0.000 0.000 0.000
Th 0.000 0.000 0.500
Th 0.000 0.500 0.000
Th 0.000 0.500 0.500
Th 0.125 0.750 0.875
Th 0.125 0.875 0.250
Th 0.250 0.125 0.875
Th 0.250 0.625 0.375
Th 0.375 0.250 0.625
Th 0.375 0.625 0.750
Th 0.500 0.000 0.000
Th 0.500 0.000 0.500
Th 0.500 0.500 0.000
Th 0.500 0.500 0.500
Th 0.625 0.375 0.250
Th 0.625 0.750 0.375
Th 0.750 0.375 0.625
Th 0.750 0.875 0.125
Th 0.875 0.125 0.750
Th 0.875 0.250 0.125

=====

# 3
Here is a geometry-optimized Tb2DyTh structure from the Alexandria database. Energies are from GGA-PBE.

Properties
Calculated formation energy: 0.0080 eV/atom
Total magnetic moment: 0.004 μB per atom
Calculated total energy: -5.313 eV per atom

a = 11.645 Å, b = 11.645 Å, c = 11.645 Å
α = 17.74°, β = 17.74°, γ = 17.74°
Fractional positions:
Tb 0.000 0.000 0.000
Tb 0.169 0.169 0.169
Dy 0.750 0.750 0.750
Th 0.585 0.585 0.585